Run w
# GaPbCl2 | Alexandria via LeMat-Bulk | PBE | optimized geometry
# Crystal system: cubic
# Total magnetization, μB per formula unit: 0.00
# Calculated volume, Å³ per atom: 25.15
# Calculated density, Mg/m³: 5.74
data_GaPbCl2
_space_group_name_H-M_alt 'F m -3 m'
_space_group_IT_number 225
_space_group_name_Hall '-F 4 2 3'
_cell_length_a 7.382
_cell_length_b 7.382
_cell_length_c 7.382
_cell_angle_alpha 90.00
_cell_angle_beta 90.00
_cell_angle_gamma 90.00
loop_
_atom_site_label
_atom_site_type_symbol
_atom_site_fract_x
_atom_site_fract_y
_atom_site_fract_z
Ga1 Ga 0.000 0.000 0.000
Pb1 Pb 0.000 0.000 0.500
Cl1 Cl 0.250 0.250 0.250

---

Run x
# GaPbCl2 | Alexandria via LeMat-Bulk | PBE | optimized geometry
# Crystal system: tetragonal
# Total magnetization, μB per formula unit: 0.00
# Calculated volume, Å³ per atom: 27.76
# Calculated density, Mg/m³: 5.20
data_GaPbCl2
_space_group_name_H-M_alt 'I -4 2 d'
_space_group_IT_number 122
_space_group_name_Hall 'I -4 2bw'
_cell_length_a 8.145
_cell_length_b 8.145
_cell_length_c 6.695
_cell_angle_alpha 90.00
_cell_angle_beta 90.00
_cell_angle_gamma 90.00
loop_
_atom_site_label
_atom_site_type_symbol
_atom_site_fract_x
_atom_site_fract_y
_atom_site_fract_z
Ga1 Ga 0.000 0.000 0.000
Pb1 Pb 0.000 0.000 0.500
Cl1 Cl 0.244 0.250 0.625

---

On energetic grounds, run x is preferred over the next structure by 7.0 kJ/mol of atoms.

---

Run w
# Ga2PbCl | Alexandria via LeMat-Bulk | PBE | optimized geometry
# Crystal system: tetragonal
# Total magnetization, μB per formula unit: 0.00
# Calculated volume, Å³ per atom: 33.93
# Calculated density, Mg/m³: 4.68
data_Ga2PbCl
_space_group_name_H-M_alt 'I -4 2 d'
_space_group_IT_number 122
_space_group_name_Hall 'I -4 2bw'
_cell_length_a 6.157
_cell_length_b 6.157
_cell_length_c 14.321
_cell_angle_alpha 90.00
_cell_angle_beta 90.00
_cell_angle_gamma 90.00
loop_
_atom_site_label
_atom_site_type_symbol
_atom_site_fract_x
_atom_site_fract_y
_atom_site_fract_z
Ga1 Ga 0.247 0.250 0.125
Pb1 Pb 0.000 0.000 0.500
Cl1 Cl 0.000 0.000 0.000

---

Run x
# Ga2PbCl | Alexandria via LeMat-Bulk | PBE | optimized geometry
# Crystal system: cubic
# Total magnetization, μB per formula unit: 0.00
# Calculated volume, Å³ per atom: 23.91
# Calculated density, Mg/m³: 6.63
data_Ga2PbCl
_space_group_name_H-M_alt 'F m -3 m'
_space_group_IT_number 225
_space_group_name_Hall '-F 4 2 3'
_cell_length_a 7.259
_cell_length_b 7.259
_cell_length_c 7.259
_cell_angle_alpha 90.00
_cell_angle_beta 90.00
_cell_angle_gamma 90.00
loop_
_atom_site_label
_atom_site_type_symbol
_atom_site_fract_x
_atom_site_fract_y
_atom_site_fract_z
Ga1 Ga 0.250 0.250 0.250
Pb1 Pb 0.000 0.000 0.000
Cl1 Cl 0.000 0.000 0.500

---

On energetic grounds, run x is preferred over the next structure by 5.3 kJ/mol of atoms.

---

Run w
# GaPbSCl2 | Alexandria via LeMat-Bulk | PBE | optimized geometry
# Crystal system: tetragonal
# Total magnetization, μB per formula unit: 1.00
# Calculated volume, Å³ per atom: 83.62
# Calculated density, Mg/m³: 1.51
data_GaPbSCl2
_space_group_name_H-M_alt 'P 4/m m m'
_space_group_IT_number 123
_space_group_name_Hall '-P 4 2'
_cell_length_a 7.051
_cell_length_b 7.051
_cell_length_c 8.410
_cell_angle_alpha 90.00
_cell_angle_beta 90.00
_cell_angle_gamma 90.00
loop_
_atom_site_label
_atom_site_type_symbol
_atom_site_fract_x
_atom_site_fract_y
_atom_site_fract_z
Ga1 Ga 0.000 0.000 0.000
Pb1 Pb 0.500 0.500 0.500
S1 S 0.500 0.500 0.000
Cl1 Cl 0.000 0.500 0.500

---

Run x
# GaPbSCl2 | Alexandria via LeMat-Bulk | PBE | optimized geometry
# Crystal system: tetragonal
# Total magnetization, μB per formula unit: 0.00
# Calculated volume, Å³ per atom: 23.40
# Calculated density, Mg/m³: 5.39
data_GaPbSCl2
_space_group_name_H-M_alt 'P 4/m m m'
_space_group_IT_number 123
_space_group_name_Hall '-P 4 2'
_cell_length_a 4.907
_cell_length_b 4.907
_cell_length_c 4.858
_cell_angle_alpha 90.00
_cell_angle_beta 90.00
_cell_angle_gamma 90.00
loop_
_atom_site_label
_atom_site_type_symbol
_atom_site_fract_x
_atom_site_fract_y
_atom_site_fract_z
Ga1 Ga 0.000 0.000 0.000
Pb1 Pb 0.500 0.500 0.500
S1 S 0.000 0.000 0.500
Cl1 Cl 0.000 0.500 0.000

---

On energetic grounds, run x is preferred over the next structure by 108.5 kJ/mol of atoms.